[1]
DFT (PBE) results for an optimized crystal structure of LiCrCd2Cl.

As for the theoretical density: 3314 kg/m³. The size of the total moment is 0.90 μB/atom. For the energy relative to the elements, uncorrected, the calculation gives 0.3640 eV per atom.

It has space group P4/mmm (No. 123), with a = 5.946 Å, b = 5.946 Å, c = 4.525 Å, α = 90.00°, β = 90.00° and γ = 90.00°. The asymmetric unit holds Li at (0.000, 0.000, 0.000), Cr at (0.500, 0.500, 0.000), Cd at (0.000, 0.500, 0.500) and Cl at (0.500, 0.500, 0.500).

[2]
DFT (PBE) results for an optimized crystal structure of CrCd2MoCl.

As for the theoretical density: 5340 kg/m³. The size of the total moment is 0.07 μB/atom. For the energy relative to the elements, uncorrected, the calculation gives 1.1457 eV per atom.

It has space group P4/mmm (No. 123), with a = 5.357 Å, b = 5.357 Å, c = 4.423 Å, α = 90.00°, β = 90.00° and γ = 90.00°. The asymmetric unit holds Cr at (0.000, 0.000, 0.000), Cd at (0.000, 0.500, 0.500), Mo at (0.500, 0.500, 0.000) and Cl at (0.000, 0.000, 0.500).